[1]
# ErTaOsRu (GGA-PBE, relaxed)
data_ErTaOsRu
_cell_length_a 4.6135
_cell_length_b 4.6135
_cell_length_c 4.6135
_cell_angle_alpha 60.00
_cell_angle_beta 60.00
_cell_angle_gamma 60.00
_space_group_name_H-M_alt 'P 1'
_space_group_IT_number 1
_space_group_name_Hall 'P 1'
loop_
_atom_site_label
_atom_site_type_symbol
_atom_site_fract_x
_atom_site_fract_y
_atom_site_fract_z
Ru1 Ru 0.7500 0.7500 0.7500
Er1 Er 0.5000 0.5000 0.5000
Os1 Os 0.2500 0.2500 0.2500
Ta1 Ta 0.0000 0.0000 0.0000
# Energy above the most stable polymorph in this dataset   5.1 kJ/mol of atoms
# ΔH_f (0 K)   -1.443 eV/f.u.



[2]
# ScMo (GGA-PBE, relaxed)
data_ScMo
_cell_length_a 2.9340
_cell_length_b 2.9340
_cell_length_c 9.5679
_cell_angle_alpha 90.00
_cell_angle_beta 90.00
_cell_angle_gamma 111.93
_space_group_name_H-M_alt 'P 1'
_space_group_IT_number 1
_space_group_name_Hall 'P 1'
loop_
_atom_site_label
_atom_site_type_symbol
_atom_site_fract_x
_atom_site_fract_y
_atom_site_fract_z
Mo1 Mo 0.0000 0.0000 0.9796
Mo2 Mo 0.5000 0.5000 0.7704
Sc1 Sc 0.0000 0.0000 0.5284
Sc2 Sc 0.5000 0.5000 0.2216
# Energy above the most stable polymorph in this dataset   15.4 kJ/mol of atoms
# ΔH_f (0 K)   0.271 eV/f.u.



[3]
# ZrTlCuSb2 (GGA-PBE, relaxed)
data_ZrTlCuSb2
_cell_length_a 5.5176
_cell_length_b 5.7211
_cell_length_c 5.5176
_cell_angle_alpha 90.00
_cell_angle_beta 90.00
_cell_angle_gamma 90.00
_space_group_name_H-M_alt 'P 1'
_space_group_IT_number 1
_space_group_name_Hall 'P 1'
loop_
_atom_site_label
_atom_site_type_symbol
_atom_site_fract_x
_atom_site_fract_y
_atom_site_fract_z
Sb1 Sb 0.0000 0.0000 0.5000
Sb2 Sb 0.5000 0.0000 0.0000
Tl1 Tl 0.0000 0.5000 0.0000
Cu1 Cu 0.5000 0.5000 0.5000
Zr1 Zr 0.0000 0.0000 0.0000
# Uncorrected energy   -20.2 eV/f.u.



Calculated spin magnetization (μB/cell), listed in the same order as above: 0.0 0.0 0.0